--- P ---
BaBSe3 | PBE | relaxed

## Properties
The calculation puts the density of states at the Fermi level at 0.23 states/eV/atom.

The structure in extended XYZ format:
```
10
Lattice="-5.4924 0.1938 2.3189 -5.1801 -1.6080 -4.4627 -0.9412 -7.0258 6.0300" Properties=species:S:1:pos:R:3 pbc="T T T"
Ba -6.5712 -2.9490 0.0266
Ba -5.0426 -5.4909 3.8596
B -1.4291 -5.2983 4.7300
B -10.1846 -3.1416 -0.8438
Se -7.6450 -5.8549 1.5903
Se -7.4841 -6.4647 5.8302
Se -4.8786 -5.9525 0.4223
Se -6.7352 -2.4875 3.4638
Se -3.9687 -2.5851 2.2959
Se -4.1297 -1.9752 -1.9441
```

---

--- Q ---
BaBSe3 | PBE | relaxed

The structure in extended XYZ format:
```
20
Lattice="-3.9161 2.4756 5.3690 6.9100 -3.0472 6.4451 3.2902 7.4463 -1.0336" Properties=species:S:1:pos:R:3 pbc="T T T"
Ba 2.7157 3.1016 7.9668
Ba 3.5684 3.7732 2.8138
Ba 5.0514 -1.2670 7.0013
Ba 1.2327 8.1417 3.7792
B 3.1810 0.3510 4.2225
B 3.1030 6.5237 6.5581
B 5.1451 1.1302 9.9791
B 1.1390 5.7445 0.8014
Se 3.1604 0.4708 2.2949
Se 3.1237 6.4040 8.4857
Se -0.1912 3.0759 3.3325
Se 6.4753 3.7988 7.4481
Se 4.3046 1.5560 5.2866
Se 1.9795 5.3187 5.4940
Se 3.3524 0.3481 9.8324
Se 2.9316 6.5266 0.9481
Se 5.2707 3.1553 10.2255
Se 1.0134 3.7194 0.5550
Se 5.4355 6.3476 4.1903
Se 0.8486 0.5271 6.5902
```

---

--- R ---
BaBSe3 | PBE | relaxed

## Properties
The calculation puts the density of states at the Fermi level at 0.92 states/eV/atom.

The structure in extended XYZ format:
```
5
Lattice="-0.5464 5.0055 3.7188 -4.9432 1.9279 -3.3213 -3.8012 -3.2266 3.7845" Properties=species:S:1:pos:R:3 pbc="T T T"
B -4.6454 1.8534 2.0910
Ba 0.0000 0.0000 0.0000
Se -2.4716 0.9640 -1.6606
Se -1.9006 -1.6133 1.8923
Se -0.2732 2.5027 1.8594
```

---

--- S ---
BaBSe3 | PBE | relaxed

## Properties
The calculation puts the density of states at the Fermi level at 1.07 states/eV/atom.

The structure in extended XYZ format:
```
5
Lattice="-0.2823 -4.6257 -1.3020 -0.7594 -1.2450 4.5875 -4.7451 0.4744 -0.6567" Properties=species:S:1:pos:R:3 pbc="T T T"
B 0.0000 0.0000 0.0000
Ba -2.8933 -2.6981 1.3144
Se -0.3797 -0.6225 2.2938
Se -2.3725 0.2372 -0.3283
Se -0.1411 -2.3128 -0.6510
```

---

Most stable pick: Q. Distance to second place: 1.7 kJ/mol of atoms.

---

--- P ---
Ba2BSe | PBE | relaxed

## Properties
The calculation puts the density of states at the Fermi level at 0.16 states/eV/atom.

The structure in extended XYZ format:
```
4
Lattice="0.0000 3.9369 3.9369 3.9369 0.0000 3.9369 3.9369 3.9369 0.0000" Properties=species:S:1:pos:R:3 pbc="T T T"
B 0.0000 0.0000 0.0000
Ba 1.9685 1.9685 1.9685
Ba 5.9054 5.9054 5.9054
Se 3.9369 3.9369 3.9369
```

---

--- Q ---
Ba2BSe | PBE | relaxed

## Properties
The calculation puts the density of states at the Fermi level at 0.00 states/eV/atom.

The structure in extended XYZ format:
```
8
Lattice="-5.3627 5.9595 1.0968 -5.0764 -5.2182 3.5324 -3.2946 1.3323 6.5015" Properties=species:S:1:pos:R:3 pbc="T T T"
B -5.2196 0.3707 2.3146
B -6.7953 -1.7576 6.1743
Ba -4.7054 3.2894 2.7311
Ba -4.7712 -2.0672 3.9916
Ba -6.4845 1.1755 6.6810
Ba -11.5063 1.7496 8.8579
Se 0.0000 0.0000 0.0000
Se -6.9384 3.8312 4.9565
```

---

Most stable pick: P. Distance to second place: 1.3 kJ/mol of atoms.

---

--- P ---
Ba2SiB | PBE | relaxed

## Properties
The calculation puts the density of states at the Fermi level at 0.68 states/eV/atom.

The structure in extended XYZ format:
```
4
Lattice="0.0000 3.9110 3.9110 3.9110 0.0000 3.9110 3.9110 3.9110 0.0000" Properties=species:S:1:pos:R:3 pbc="T T T"
Si 3.9110 3.9110 3.9110
B 0.0000 0.0000 0.0000
Ba 1.9555 1.9555 1.9555
Ba 5.8665 5.8665 5.8665
```

---

--- Q ---
Ba2SiB | PBE | relaxed

## Properties
The calculation puts the density of states at the Fermi level at 0.80 states/eV/atom.

The structure in extended XYZ format:
```
8
Lattice="-1.7447 -1.3418 -8.2012 3.0948 -7.8822 0.6313 -2.7315 -5.8749 -2.8536" Properties=species:S:1:pos:R:3 pbc="T T T"
Si 0.0000 0.0000 0.0000
Si -1.9006 -5.9144 -7.4199
B 0.6750 -4.6120 -3.7850
B 0.5191 -9.1846 -3.0037
Ba -1.3247 -3.2451 -5.4698
Ba 0.9715 -6.6103 -1.6345
Ba -1.4328 -8.1444 -4.9566
Ba -0.9770 -12.1980 -8.7863
```

---

Most stable pick: P. Distance to second place: 24.9 kJ/mol of atoms.

---

--- P ---
BaSi3B | PBE | relaxed

## Properties
The calculation puts the density of states at the Fermi level at 0.93 states/eV/atom.

The structure in extended XYZ format:
```
5
Lattice="5.6878 0.0000 0.0000 0.0000 5.6878 0.0000 0.0000 0.0000 5.6878" Properties=species:S:1:pos:R:3 pbc="T T T"
Si 0.0000 2.8439 0.0000
Si 0.0000 0.0000 2.8439
Si 2.8439 0.0000 0.0000
B 2.8439 2.8439 2.8439
Ba 0.0000 0.0000 0.0000
```

---

--- Q ---
BaSi3B | PBE | relaxed

## Properties
The calculation puts the density of states at the Fermi level at 0.35 states/eV/atom.

The structure in extended XYZ format:
```
5
Lattice="4.5860 0.0000 0.0000 0.0000 4.5860 0.0000 0.0000 0.0000 4.5860" Properties=species:S:1:pos:R:3 pbc="T T T"
Si 0.0000 2.2930 0.0000
Si 0.0000 0.0000 2.2930
Si 2.2930 0.0000 0.0000
B 0.0000 0.0000 0.0000
Ba 2.2930 2.2930 2.2930
```

---

Most stable pick: Q. Distance to second place: 200.2 kJ/mol of atoms.